{
  "formula": "LaAlBiMo2",
  "functional": "meta-GGA SCAN",
  "state": "single point on PBEsol structure",
  "lattice": [[4.726, 0.000, 0.000], [0.000, 4.726, 0.000], [0.000, 0.000, 6.088]],
  "species": ["La", "Al", "Bi", "Mo", "Mo"],
  "fractional_positions": [[0.000, 0.000, 0.000], [0.500, 0.500, 0.500], [0.000, 0.000, 0.500], [0.000, 0.500, 0.000], [0.500, 0.000, 0.000]],
  "space_group": "P4/mmm, No. 123",
  "e_tot_ev_per_atom": -37.732,
  "delta_e_f_kj_per_mol_atoms": 203.5,
  "magnetic_moment_mub_per_cell": 3.2
}